[1]
An optimized crystal structure of TmZrPdRh. Source: the Alexandria database, functional PBE.

a = 4.444 Å, b = 5.443 Å, c = 5.443 Å
α = 36.85°, β = 90.00°, γ = 90.00°
Fractional coordinates of all 4 atoms:
1 Tm 0.000 0.000 0.000
2 Zr 0.500 0.721 0.721
3 Pd 0.500 0.445 0.445
4 Rh 0.000 0.265 0.265

- energy above the most stable polymorph in this dataset (eV/atom) = 0.0000
- theoretical density (g/cm³) = 9.873
- formation energy (meV/atom) = -813
- space group = Amm2 (38)

=====

[2]
An optimized crystal structure of MgZrSe2. Source: the Alexandria database, functional PBE.

a = 4.998 Å, b = 4.998 Å, c = 4.998 Å
α = 132.36°, β = 116.13°, γ = 83.44°
Fractional coordinates of all 4 atoms:
1 Mg 0.000 0.000 0.000
2 Zr 0.500 0.500 0.000
3 Se 0.225 0.725 0.500
4 Se 0.775 0.275 0.500

- theoretical density (g/cm³) = 5.703
- space group = Immm (71)
- ΔE_f (raw) (eV per atom) = -0.793